Entry 1:
Density functional theory data (GGA-PBE) for a relaxed structure of LuSc2Tl. Values from VASP.

## Properties
The formation energy from the elements is -13 kJ/mol of atoms. As for the crystal system: tetragonal.

```
&SYSTEM
  ibrav = 0, nat = 4, ntyp = 3
/
ATOMIC_SPECIES
Sc 44.96 Sc.upf
Tl 204.38 Tl.upf
Lu 174.97 Lu.upf
CELL_PARAMETERS angstrom
-1.831 2.516 1.417
-1.695 0.422 -2.940
-5.916 -5.760 2.584
ATOMIC_POSITIONS crystal
Sc 0.000 0.000 0.767
Sc 0.000 0.000 0.233
Tl 0.500 0.500 0.000
Lu 0.500 0.500 0.500
```

Entry 2:
Density functional theory data (GGA-PBE) for a relaxed structure of GaPO6. Values from VASP.

## Properties
The calculation puts the uncorrected formation energy at -0.8099 eV/atom. As for the crystal system: cubic.

```
&SYSTEM
  ibrav = 0, nat = 8, ntyp = 3
/
ATOMIC_SPECIES
Ga 69.72 Ga.upf
P 30.97 P.upf
O 16.00 O.upf
CELL_PARAMETERS angstrom
5.114 0.000 0.000
2.557 4.429 0.000
2.557 1.476 4.176
ATOMIC_POSITIONS crystal
Ga 0.500 0.500 0.500
P 0.000 0.000 0.000
O 0.771 0.771 0.229
O 0.771 0.229 0.229
O 0.229 0.771 0.771
O 0.229 0.229 0.771
O 0.229 0.771 0.229
O 0.771 0.229 0.771
```

Number 1: total energy -20.069 eV per cell, mass density 7.7 Mg/m³, N(E_F) 1.17 states/eV per atom. Number 2: total energy -44.665 eV per cell, mass density 3.5 Mg/m³, N(E_F) 0.73 states/eV per atom.